# 1
DFT (PBE-GGA) results for crystalline HfAl2NiIr at its relaxed geometry.

extended XYZ file:
```
5
Lattice="4.623 0.000 0.000 0.000 4.623 0.000 0.000 0.000 5.018" Properties=species:S:1:pos:R:3 pbc="T T T"
Hf 0.000 0.000 0.000
Al 0.000 2.311 2.509
Al 2.311 0.000 2.509
Ni 2.311 2.311 0.000
Ir 0.000 0.000 2.509
```

Output
energy of formation from the pure elements	0.20	eV/atom
DFT total energy	-6.22	eV per atom
total moment	0.00	μB/cell

***

# 2
DFT (PBE-GGA) results for crystalline HfAlIrO2 at its relaxed geometry.

extended XYZ file:
```
5
Lattice="3.583 0.000 0.000 0.000 3.583 0.000 0.000 0.000 8.185" Properties=species:S:1:pos:R:3 pbc="T T T"
Hf 0.000 0.000 0.000
Al 0.000 0.000 4.093
Ir 1.791 1.791 0.000
O 0.000 1.791 4.093
O 1.791 0.000 4.093
```

Output
DFT total energy	-7.19	eV per atom
uncorrected formation energy	-0.691	eV per atom
total moment	0.00	μB/cell

***

# 3
DFT (PBE-GGA) results for crystalline HfAlIr2Os at its relaxed geometry.

extended XYZ file:
```
5
Lattice="4.779 0.000 0.000 0.000 4.779 0.000 0.000 0.000 4.814" Properties=species:S:1:pos:R:3 pbc="T T T"
Hf 0.000 0.000 0.000
Al 2.389 2.389 2.407
Ir 0.000 2.389 0.000
Ir 2.389 0.000 0.000
Os 0.000 0.000 2.407
```

Output
energy of formation from the pure elements	1.67	eV/atom
DFT total energy	-6.86	eV per atom
total moment	0.00	μB/cell

***

# 4
DFT (PBE-GGA) results for crystalline PrHfAlIr2 at its relaxed geometry.

extended XYZ file:
```
5
Lattice="-2.090 2.090 5.903 2.090 -2.090 5.903 2.090 2.090 -5.903" Properties=species:S:1:pos:R:3 pbc="T T T"
Pr 0.000 0.000 0.000
Hf 0.000 2.090 2.951
Al 2.090 0.000 2.951
Ir 0.000 0.000 4.558
Ir 0.000 0.000 7.247
```

Output
energy of formation from the pure elements	-0.85	eV/atom
DFT total energy	-8.09	eV per atom
total moment	0.00	μB/cell

***

# 5
DFT (PBE-GGA) results for crystalline HfAlIrRu2 at its relaxed geometry.

extended XYZ file:
```
5
Lattice="4.721 0.000 0.000 0.000 4.721 0.000 0.000 0.000 4.876" Properties=species:S:1:pos:R:3 pbc="T T T"
Hf 0.000 0.000 0.000
Al 2.361 2.361 0.000
Ir 0.000 0.000 2.438
Ru 0.000 2.361 2.438
Ru 2.361 0.000 2.438
```

Output
energy of formation from the pure elements	1.07	eV/atom
DFT total energy	-7.15	eV per atom
total moment	0.00	μB/cell

***

# 6
DFT (PBE-GGA) results for crystalline SrHf2AlIr at its relaxed geometry.

extended XYZ file:
```
5
Lattice="5.104 0.000 0.000 0.000 5.104 0.000 0.000 0.000 4.861" Properties=species:S:1:pos:R:3 pbc="T T T"
Sr 0.000 0.000 0.000
Hf 0.000 2.552 0.000
Hf 2.552 0.000 0.000
Al 2.552 2.552 2.431
Ir 0.000 0.000 2.431
```

Output
energy of formation from the pure elements	2.08	eV/atom
DFT total energy	-4.75	eV per atom
total moment	0.00	μB/cell

***

# 7
DFT (PBE-GGA) results for crystalline TmHf2AlIr4 at its relaxed geometry.

extended XYZ file:
```
8
Lattice="2.276 1.314 7.733 -2.276 1.314 7.733 0.000 -2.628 7.733" Properties=species:S:1:pos:R:3 pbc="T T T"
Tm 0.000 0.000 0.000
Hf 0.000 0.000 5.693
Hf 0.000 0.000 17.507
Al 0.000 0.000 11.600
Ir 0.000 0.000 2.973
Ir 0.000 0.000 9.000
Ir 0.000 0.000 14.200
Ir 0.000 0.000 20.227
```

Output
energy of formation from the pure elements	-0.89	eV/atom
DFT total energy	-8.83	eV per atom
total moment	0.00	μB/cell

***

# 8
DFT (PBE-GGA) results for crystalline YHf2AlIr4 at its relaxed geometry.

extended XYZ file:
```
8
Lattice="2.266 1.308 7.984 -2.266 1.308 7.984 0.000 -2.616 7.984" Properties=species:S:1:pos:R:3 pbc="T T T"
Y 0.000 0.000 0.000
Hf 0.000 0.000 5.834
Hf 0.000 0.000 18.118
Al 0.000 0.000 11.976
Ir 0.000 0.000 3.116
Ir 0.000 0.000 9.417
Ir 0.000 0.000 14.534
Ir 0.000 0.000 20.835
```

Output
energy of formation from the pure elements	-0.85	eV/atom
DFT total energy	-9.05	eV per atom
total moment	0.00	μB/cell

***

# 9
DFT (PBE-GGA) results for crystalline HfAlZnIr at its relaxed geometry.

extended XYZ file:
```
4
Lattice="0.000 3.174 3.174 3.174 0.000 3.174 3.174 3.174 0.000" Properties=species:S:1:pos:R:3 pbc="T T T"
Hf 0.000 0.000 0.000
Al 3.174 3.174 3.174
Zn 4.760 4.760 4.760
Ir 1.587 1.587 1.587
```

Output
energy of formation from the pure elements	-0.63	eV/atom
DFT total energy	-6.59	eV per atom
total moment	0.00	μB/cell

***

# 10
DFT (PBE-GGA) results for crystalline Hf2Al2ZnIr5 at its relaxed geometry.

extended XYZ file:
```
20
Lattice="9.477 0.000 0.000 0.000 9.477 0.000 0.000 0.000 3.517" Properties=species:S:1:pos:R:3 pbc="T T T"
Hf 1.655 3.083 0.000
Hf 3.083 7.821 0.000
Hf 6.394 1.655 0.000
Hf 7.821 6.394 0.000
Al 1.186 5.924 0.000
Al 3.552 1.186 0.000
Al 5.924 8.291 0.000
Al 8.291 3.552 0.000
Zn 0.000 0.000 0.000
Zn 4.738 4.738 0.000
Ir 0.000 4.738 1.758
Ir 0.669 7.558 1.758
Ir 1.918 0.669 1.758
Ir 2.820 5.407 1.758
Ir 4.069 2.820 1.758
Ir 4.738 0.000 1.758
Ir 5.407 6.657 1.758
Ir 6.657 4.069 1.758
Ir 7.558 8.808 1.758
Ir 8.808 1.918 1.758
```

Output
energy of formation from the pure elements	-0.67	eV/atom
DFT total energy	-7.97	eV per atom
total moment	0.00	μB/cell

***

# 11
DFT (PBE-GGA) results for crystalline K2HfAl at its relaxed geometry.

extended XYZ file:
```
8
Lattice="-6.299 6.299 2.672 6.299 -6.299 2.672 6.299 6.299 -2.672" Properties=species:S:1:pos:R:3 pbc="T T T"
K 1.292 3.150 0.668
K -3.150 5.007 2.004
K -1.292 9.449 0.668
K 3.150 7.591 2.004
Hf 6.299 0.000 1.336
Hf 0.000 0.000 2.672
Al 0.000 0.000 0.000
Al 0.000 6.299 1.336
```

Output
energy of formation from the pure elements	1.05	eV/atom
DFT total energy	-2.92	eV per atom
total moment	0.00	μB/cell

***

# 12
DFT (PBE-GGA) results for crystalline KHf3Al at its relaxed geometry.

extended XYZ file:
```
5
Lattice="5.212 0.000 0.000 0.000 5.212 0.000 0.000 0.000 5.212" Properties=species:S:1:pos:R:3 pbc="T T T"
K 0.000 0.000 0.000
Hf 0.000 2.606 2.606
Hf 2.606 0.000 2.606
Hf 2.606 2.606 0.000
Al 2.606 2.606 2.606
```

Output
polymorph energy (0 for the lowest one)	0.0	meV/atom
energy of formation from the pure elements	1.10	eV/atom
DFT total energy	-5.84	eV per atom
total moment	0.00	μB/cell

***

# 13
DFT (PBE-GGA) results for crystalline KHf3Al at its relaxed geometry.

extended XYZ file:
```
5
Lattice="4.865 0.000 0.000 0.000 4.865 0.000 0.000 0.000 4.865" Properties=species:S:1:pos:R:3 pbc="T T T"
K 0.000 0.000 0.000
Hf 0.000 0.000 2.432
Hf 0.000 2.432 0.000
Hf 2.432 0.000 0.000
Al 2.432 2.432 2.432
```

Output
polymorph energy (0 for the lowest one)	1019.4	meV/atom
energy of formation from the pure elements	2.12	eV/atom
DFT total energy	-4.82	eV per atom
total moment	1.79	μB/cell

***

# 14
DFT (PBE-GGA) results for crystalline KHf2Al at its relaxed geometry.

extended XYZ file:
```
8
Lattice="-2.196 2.196 10.697 2.196 -2.196 10.697 2.196 2.196 -10.697" Properties=species:S:1:pos:R:3 pbc="T T T"
K 0.000 0.000 0.000
K 0.000 2.196 5.349
Hf 1.098 -0.964 8.023
Hf 1.232 1.098 2.674
Hf 1.098 3.160 -2.674
Hf 0.964 1.098 13.372
Al 2.196 0.000 5.349
Al 0.000 0.000 10.697
```

Output
energy of formation from the pure elements	1.01	eV/atom
DFT total energy	-5.18	eV per atom
total moment	0.00	μB/cell

***

# 15
DFT (PBE-GGA) results for crystalline KHfAlO4 at its relaxed geometry.

extended XYZ file:
```
14
Lattice="5.421 0.000 0.000 0.000 5.690 0.000 -1.840 0.000 6.915" Properties=species:S:1:pos:R:3 pbc="T T T"
K 0.656 1.423 0.614
K 2.925 4.268 6.301
Hf 0.047 4.268 3.267
Hf 3.534 1.423 3.647
Al 0.913 1.423 4.585
Al 2.668 4.268 2.329
O -0.350 0.132 4.615
O -0.350 2.713 4.615
O 1.132 4.268 1.473
O 1.624 1.423 2.967
O 1.957 4.268 3.948
O 2.449 1.423 5.442
O 3.931 2.977 2.300
O 3.931 5.558 2.300
```

Output
DFT total energy	-7.79	eV per atom
uncorrected formation energy	-2.848	eV per atom
total moment	0.00	μB/cell

***

# 16
DFT (PBE-GGA) results for crystalline KHfAl2O6 at its relaxed geometry.

extended XYZ file:
```
20
Lattice="4.548 -5.927 0.000 4.548 5.927 0.000 -2.453 0.000 5.766" Properties=species:S:1:pos:R:3 pbc="T T T"
K 2.708 4.692 4.325
K 3.935 -4.692 1.442
Hf 3.935 3.578 1.442
Hf 2.708 -3.578 4.325
Al 1.288 0.916 4.902
Al 2.515 -0.916 2.019
Al 4.128 0.916 3.747
Al 5.355 -0.916 0.864
O -0.357 1.070 4.211
O 1.528 2.540 5.567
O 0.869 -1.070 1.328
O 3.888 2.540 3.082
O 2.156 0.333 3.364
O 3.382 -0.333 0.481
O 3.260 0.333 5.286
O 4.487 -0.333 2.402
O 2.755 -2.540 2.684
O 5.773 1.070 4.438
O 5.114 -2.540 0.199
O 7.000 -1.070 1.555
```

Output
DFT total energy	-7.47	eV per atom
uncorrected formation energy	-2.640	eV per atom
total moment	2.13	μB/cell

***

# 17
DFT (PBE-GGA) results for crystalline K2HfAlO at its relaxed geometry.

extended XYZ file:
```
5
Lattice="7.177 0.000 0.000 0.000 7.177 0.000 0.000 0.000 3.916" Properties=species:S:1:pos:R:3 pbc="T T T"
K 0.000 3.589 0.000
K 3.589 0.000 0.000
Hf 0.000 0.000 0.000
Al 3.589 3.589 1.958
O 0.000 0.000 1.958
```

Output
DFT total energy	-4.32	eV per atom
uncorrected formation energy	-0.148	eV per atom
total moment	0.00	μB/cell

***

# 18
DFT (PBE-GGA) results for crystalline KHfAlS4 at its relaxed geometry.

extended XYZ file:
```
14
Lattice="6.297 0.000 0.000 0.000 6.751 0.000 -1.335 0.000 8.163" Properties=species:S:1:pos:R:3 pbc="T T T"
K 1.061 1.688 0.516
K 3.901 5.063 7.647
Hf 0.473 5.063 3.725
Hf 4.489 1.688 4.438
Al 1.424 1.688 5.354
Al 3.538 5.063 2.808
S -0.150 0.034 5.615
S -0.150 3.342 5.615
S 1.747 5.063 1.499
S 2.261 1.688 3.314
S 2.701 5.063 4.848
S 3.215 1.688 6.663
S 5.112 3.409 2.548
S 5.112 6.717 2.548
```

Output
DFT total energy	-5.81	eV per atom
uncorrected formation energy	-1.341	eV per atom
total moment	0.00	μB/cell

***

# 19
DFT (PBE-GGA) results for crystalline KHfAl2S6 at its relaxed geometry.

extended XYZ file:
```
20
Lattice="5.980 -5.943 0.000 5.980 5.943 0.000 -1.892 0.000 6.735" Properties=species:S:1:pos:R:3 pbc="T T T"
K 4.561 3.214 5.051
K 5.507 -3.214 1.684
Hf 5.507 1.239 1.684
Hf 4.561 -1.239 5.051
Al 0.773 1.015 5.411
Al 1.718 -1.015 2.044
Al 8.349 1.015 4.691
Al 9.295 -1.015 1.324
S 1.248 0.522 0.412
S 3.642 2.803 1.970
S 0.302 -0.522 3.780
S 2.930 0.672 6.004
S 7.372 2.803 1.398
S 3.876 -0.672 2.637
S 6.192 0.672 4.098
S 2.696 -2.803 5.338
S 7.138 -0.672 0.731
S 9.766 0.522 2.955
S 6.426 -2.803 4.765
S 8.820 -0.522 6.323
```

Output
DFT total energy	-5.44	eV per atom
uncorrected formation energy	-1.113	eV per atom
total moment	2.03	μB/cell

***

# 20
DFT (PBE-GGA) results for crystalline K2HfAlSe5 at its relaxed geometry.

extended XYZ file:
```
18
Lattice="1.889 -10.006 0.000 1.889 10.006 0.000 0.000 0.000 14.456" Properties=species:S:1:pos:R:3 pbc="T T T"
K 1.889 7.454 7.228
K 1.889 7.428 1.916
K 1.889 -7.428 9.144
K 1.889 -7.454 0.000
Hf 1.889 5.840 12.176
Hf 1.889 -5.840 4.948
Al 1.889 1.454 3.509
Al 1.889 -1.454 10.737
Se 1.889 8.756 12.243
Se 1.889 4.073 6.763
Se 1.889 3.841 2.962
Se 1.889 3.291 11.820
Se 1.889 0.191 1.517
Se 1.889 -0.191 8.745
Se 1.889 -3.291 4.592
Se 1.889 -3.841 10.189
Se 1.889 -4.073 13.991
Se 1.889 -8.756 5.015
```

Output
DFT total energy	-4.81	eV per atom
uncorrected formation energy	-1.109	eV per atom
total moment	0.34	μB/cell

***

# 21
DFT (PBE-GGA) results for crystalline KHf2AlTc at its relaxed geometry.

extended XYZ file:
```
5
Lattice="4.690 0.000 0.000 0.000 4.690 0.000 0.000 0.000 4.874" Properties=species:S:1:pos:R:3 pbc="T T T"
K 0.000 0.000 0.000
Hf 0.000 2.345 0.000
Hf 2.345 0.000 0.000
Al 0.000 0.000 2.437
Tc 2.345 2.345 2.437
```

Output
polymorph energy (0 for the lowest one)	1995.7	meV/atom
energy of formation from the pure elements	2.42	eV/atom
DFT total energy	-4.60	eV per atom
total moment	1.87	μB/cell

***

# 22
DFT (PBE-GGA) results for crystalline KHf2AlTc at its relaxed geometry.

extended XYZ file:
```
5
Lattice="5.052 0.000 0.000 0.000 5.052 0.000 0.000 0.000 5.095" Properties=species:S:1:pos:R:3 pbc="T T T"
K 0.000 0.000 0.000
Hf 0.000 2.526 2.548
Hf 2.526 0.000 2.548
Al 2.526 2.526 0.000
Tc 2.526 2.526 2.548
```

Output
polymorph energy (0 for the lowest one)	0.0	meV/atom
energy of formation from the pure elements	0.43	eV/atom
DFT total energy	-6.60	eV per atom
total moment	0.00	μB/cell

***

# 23
DFT (PBE-GGA) results for crystalline K2Hf2AlTe6 at its relaxed geometry.

extended XYZ file:
```
11
Lattice="3.605 -6.293 0.000 3.605 6.293 0.000 -2.503 0.000 8.399" Properties=species:S:1:pos:R:3 pbc="T T T"
K 3.605 4.195 0.000
K 3.605 -4.195 0.000
Hf 2.353 2.139 4.199
Hf 2.353 -2.139 4.199
Al -1.252 0.000 4.199
Te -0.054 2.055 5.826
Te 1.128 0.000 2.622
Te -0.054 -2.055 5.826
Te 4.760 2.055 2.572
Te 3.578 0.000 5.777
Te 4.760 -2.055 2.572
```

Output
DFT total energy	-4.88	eV per atom
uncorrected formation energy	-0.819	eV per atom
total moment	0.00	μB/cell